(1)
This record from the Alexandria database describes a relaxed structure of NbSi3Os. The functional is PBE-GGA.

Cell lengths 4.7328, 4.7328, 4.7328 Å; angles 90.00, 90.00, 90.00 degrees
Last column: nearest neighbours and their distance in Å.
Element x y z (fractional)
Nb (0.0000, 0.0000, 0.0000)  6 Si 2.37
Si (0.0000, 0.0000, 0.5000)  2 Nb 2.37
Si (0.0000, 0.5000, 0.0000)  2 Nb 2.37
Si (0.5000, 0.0000, 0.0000)  2 Nb 2.37
Os (0.5000, 0.5000, 0.5000)  12 Si 3.35

Formation energy without anion corrections   8.19 eV per formula unit

=====

(2)
This record from the Alexandria database describes a relaxed structure of NaZnPd. The functional is PBE-GGA.

Cell lengths 4.5638, 4.5638, 2.9567 Å; angles 90.00, 90.00, 120.00 degrees
Last column: nearest neighbours and their distance in Å.
Element x y z (fractional)
Na (0.0000, 0.0000, 0.0000)  2 Na 2.96, 6 Zn 3.02-3.03, 6 Pd 3.02
Zn (0.3333, 0.6667, 0.4974)  3 Pd 2.63
Pd (0.6667, 0.3333, 0.5015)  3 Zn 2.63

Raw total energy   -2.747 eV/atom

=====

Repeat the second record exactly.
This record from the Alexandria database describes a relaxed structure of NaZnPd. The functional is PBE-GGA.

Cell lengths 4.5638, 4.5638, 2.9567 Å; angles 90.00, 90.00, 120.00 degrees
Last column: nearest neighbours and their distance in Å.
Element x y z (fractional)
Na (0.0000, 0.0000, 0.0000)  2 Na 2.96, 6 Zn 3.02-3.03, 6 Pd 3.02
Zn (0.3333, 0.6667, 0.4974)  3 Pd 2.63
Pd (0.6667, 0.3333, 0.5015)  3 Zn 2.63

Raw total energy   -2.747 eV/atom

=====

Which formula does entry 2 have?
NaZnPd

=====

Number 2 is which compound?
NaZnPd